Entry 1:
HfH2Rh | PBE | relaxed

The space group is I-42d (No. 122) and the conventional cell measures 4.181, 4.181 and 9.532 Å, with angles of 90.00, 90.00 and 90.00 degrees. The asymmetric unit holds Hf at (0.000, 0.000, 0.000), H at (0.198, 0.250, 0.625) and Rh at (0.000, 0.000, 0.500).

For the energy above the most stable polymorph in this dataset, the calculation gives 74 meV per atom.

Entry 2:
HfH3Rh | PBE | relaxed

The space group is Pm-3m (No. 221) and the conventional cell measures 3.653, 3.653 and 3.653 Å, with angles of 90.00, 90.00 and 90.00 degrees. The asymmetric unit holds Hf at (0.000, 0.000, 0.000), H at (0.000, 0.000, 0.500) and Rh at (0.500, 0.500, 0.500).

Entry 3:
Hf3H12Rh5 | PBE | relaxed

The space group is Ia-3d (No. 230) and the conventional cell measures 11.171, 11.171 and 11.171 Å, with angles of 90.00, 90.00 and 90.00 degrees. The asymmetric unit holds Hf at (0.000, 0.250, 0.125), H at (0.023, 0.062, 0.648), Rh at (0.000, 0.000, 0.000) and Rh at (0.000, 0.250, 0.375).

Entry 4:
HfHRh | PBE | relaxed

The space group is P3m1 (No. 156) and the conventional cell measures 3.8619, 3.8619 and 3.1174 Å, with angles of 90.00, 90.00 and 120.00 degrees. The asymmetric unit holds Hf at (0.0000, 0.0000, 0.0000), H at (0.3333, 0.6667, 0.5020) and Rh at (0.6667, 0.3333, 0.5003).

For the energy above the most stable polymorph in this dataset, the calculation gives 302 meV per atom.

| no. | energy (eV per cell) |
| --- | --- |
| 1 | -101.43 |
| 2 | -26.52 |
| 3 | -891.18 |
| 4 | -21.60 |